[1]
Here is Sm2HoS4 after structural relaxation from Alexandria via LeMat-Bulk. Energies are from GGA-PBE.

Cell: 3.837 6.897 13.304 Å, 90.00 90.00 106.15°
Atoms (fractional coordinates):
Sm  0.129  0.259  0.429
Sm  0.871  0.741  0.929
Sm  0.129  0.259  0.071
Sm  0.871  0.741  0.571
Ho  0.628  0.255  0.750
Ho  0.372  0.745  0.250
S  0.779  0.558  0.125
S  0.779  0.558  0.375
S  0.221  0.442  0.875
S  0.221  0.442  0.625
S  0.980  0.960  0.750
S  0.020  0.040  0.250
S  0.500  0.000  0.000
S  0.500  0.000  0.500

Output
For the raw formation energy, the calculation gives -194.8 kJ per mole of atoms. Its distance to the lowest polymorph of the same formula is 1.7 kJ per mole of atoms.


[2]
Here is DyMgInSn after structural relaxation from Alexandria via LeMat-Bulk. Energies are from GGA-PBE.

Cell: 5.241 5.241 5.241 Å, 60.00 60.00 60.00°
Atoms (fractional coordinates):
Mg  0.000  0.000  0.000
In  0.750  0.750  0.750
Sn  0.250  0.250  0.250
Dy  0.500  0.500  0.500

Output
The value obtained for the formation enthalpy at 0 K is -0.27 eV/atom. Its distance to the lowest polymorph of the same formula is 18.0 kJ per mole of atoms.